one:
# TmAgPO GGA-PBE optimized geometry
data_TmAgPO
_chemical_formula_sum 'Tm2 Ag2 P2 O2'
_cell_length_a 5.520
_cell_length_b 5.520
_cell_length_c 4.636
_cell_angle_alpha 90.00
_cell_angle_beta 90.00
_cell_angle_gamma 90.00
_space_group_name_H-M_alt 'P 4/n m m'
_space_group_IT_number 129
loop_
_space_group_symop_operation_xyz
'x,y,z'
'-x,-y,-z'
'-y+1/2,x,z'
'y+1/2,-x,-z'
'-x+1/2,-y+1/2,z'
'x+1/2,y+1/2,-z'
'y,-x+1/2,z'
'-y,x+1/2,-z'
'x+1/2,-y,-z'
'-x+1/2,y,z'
'-y,-x,-z'
'y,x,z'
'-x,y+1/2,-z'
'x,-y+1/2,z'
'y+1/2,x+1/2,-z'
'-y+1/2,-x+1/2,z'
loop_
_atom_site_label
_atom_site_type_symbol
_atom_site_fract_x
_atom_site_fract_y
_atom_site_fract_z
Tm1 Tm 0.250 0.750 0.000
Ag1 Ag 0.250 0.250 0.498
P1 P 0.250 0.250 0.998
O1 O 0.250 0.750 0.500
# Total moment = 0.0 μB per cell

=====

two:
# TmAgPO GGA-PBE optimized geometry
data_TmAgPO
_chemical_formula_sum 'Tm2 Ag2 P2 O2'
_cell_length_a 3.910
_cell_length_b 3.910
_cell_length_c 8.747
_cell_angle_alpha 90.00
_cell_angle_beta 90.00
_cell_angle_gamma 90.00
_space_group_name_H-M_alt 'P 4/n m m'
_space_group_IT_number 129
loop_
_space_group_symop_operation_xyz
'x,y,z'
'-x,-y,-z'
'-y+1/2,x,z'
'y+1/2,-x,-z'
'-x+1/2,-y+1/2,z'
'x+1/2,y+1/2,-z'
'y,-x+1/2,z'
'-y,x+1/2,-z'
'x+1/2,-y,-z'
'-x+1/2,y,z'
'-y,-x,-z'
'y,x,z'
'-x,y+1/2,-z'
'x,-y+1/2,z'
'y+1/2,x+1/2,-z'
'-y+1/2,-x+1/2,z'
loop_
_atom_site_label
_atom_site_type_symbol
_atom_site_fract_x
_atom_site_fract_y
_atom_site_fract_z
Tm1 Tm 0.250 0.250 0.120
Ag1 Ag 0.250 0.750 0.500
P1 P 0.250 0.250 0.694
O1 O 0.250 0.750 0.000
# Total moment = 0.0 μB per cell

=====

Verdict on stability: two comes out on top.

=====

one:
# ZnAgPO

A relaxed structure of ZnAgPO (GGA-PBE, OQMD).

CIF file:
```
data_ZnAgPO
_chemical_formula_sum 'Zn2 Ag2 P2 O2'
_cell_length_a 3.619
_cell_length_b 6.942
_cell_length_c 5.158
_cell_angle_alpha 90.00
_cell_angle_beta 90.00
_cell_angle_gamma 90.00
_space_group_name_H-M_alt 'P m c 21'
_space_group_IT_number 26
_space_group_name_Hall 'P 2c -2'
loop_
_atom_site_label
_atom_site_type_symbol
_atom_site_fract_x
_atom_site_fract_y
_atom_site_fract_z
Zn1 Zn 0.000 0.169 0.000
Ag1 Ag 0.500 0.263 0.478
P1 P 0.500 0.397 0.948
O1 O 0.000 0.087 0.365
```

=====

two:
# ZnAgPO

A relaxed structure of ZnAgPO (GGA-PBE, OQMD).

CIF file:
```
data_ZnAgPO
_chemical_formula_sum 'Zn2 Ag2 P2 O2'
_cell_length_a 3.100
_cell_length_b 6.686
_cell_length_c 5.700
_cell_angle_alpha 90.00
_cell_angle_beta 90.00
_cell_angle_gamma 90.00
_space_group_name_H-M_alt 'P m c 21'
_space_group_IT_number 26
_space_group_name_Hall 'P 2c -2'
loop_
_atom_site_label
_atom_site_type_symbol
_atom_site_fract_x
_atom_site_fract_y
_atom_site_fract_z
Zn1 Zn 0.000 0.144 0.000
Ag1 Ag 0.500 0.274 0.513
P1 P 0.000 0.459 0.186
O1 O 0.500 0.034 0.834
```

=====

Verdict on stability: two comes out on top.

=====

one:
# ZnAgPO

A relaxed structure of ZnAgPO (GGA-PBE, OQMD).

CIF file:
```
data_ZnAgPO
_chemical_formula_sum 'Zn2 Ag2 P2 O2'
_cell_length_a 4.004
_cell_length_b 4.004
_cell_length_c 8.825
_cell_angle_alpha 90.00
_cell_angle_beta 90.00
_cell_angle_gamma 90.00
_space_group_name_H-M_alt 'P 4/n m m'
_space_group_IT_number 129
loop_
_space_group_symop_operation_xyz
'x,y,z'
'-x,-y,-z'
'-y+1/2,x,z'
'y+1/2,-x,-z'
'-x+1/2,-y+1/2,z'
'x+1/2,y+1/2,-z'
'y,-x+1/2,z'
'-y,x+1/2,-z'
'x+1/2,-y,-z'
'-x+1/2,y,z'
'-y,-x,-z'
'y,x,z'
'-x,y+1/2,-z'
'x,-y+1/2,z'
'y+1/2,x+1/2,-z'
'-y+1/2,-x+1/2,z'
loop_
_atom_site_label
_atom_site_type_symbol
_atom_site_fract_x
_atom_site_fract_y
_atom_site_fract_z
Zn1 Zn 0.250 0.250 0.055
Ag1 Ag 0.250 0.750 0.500
P1 P 0.250 0.250 0.329
O1 O 0.250 0.750 0.000
```

=====

two:
# ZnAgPO

A relaxed structure of ZnAgPO (GGA-PBE, OQMD).

CIF file:
```
data_ZnAgPO
_chemical_formula_sum 'Zn2 Ag2 P2 O2'
_cell_length_a 4.157
_cell_length_b 4.157
_cell_length_c 8.716
_cell_angle_alpha 90.00
_cell_angle_beta 90.00
_cell_angle_gamma 90.00
_space_group_name_H-M_alt 'P 4/n m m'
_space_group_IT_number 129
loop_
_space_group_symop_operation_xyz
'x,y,z'
'-x,-y,-z'
'-y+1/2,x,z'
'y+1/2,-x,-z'
'-x+1/2,-y+1/2,z'
'x+1/2,y+1/2,-z'
'y,-x+1/2,z'
'-y,x+1/2,-z'
'x+1/2,-y,-z'
'-x+1/2,y,z'
'-y,-x,-z'
'y,x,z'
'-x,y+1/2,-z'
'x,-y+1/2,z'
'y+1/2,x+1/2,-z'
'-y+1/2,-x+1/2,z'
loop_
_atom_site_label
_atom_site_type_symbol
_atom_site_fract_x
_atom_site_fract_y
_atom_site_fract_z
Zn1 Zn 0.250 0.750 0.000
Ag1 Ag 0.250 0.250 0.426
P1 P 0.250 0.250 0.146
O1 O 0.250 0.750 0.500
```

=====

Verdict on stability: one comes out on top.